Entry 1:
# Cs2Cd

Crystalline Cs2Cd at its relaxed geometry (PBE, Alexandria).

abc: 9.1712 9.1712 9.1712
angles: 60.00 60.00 60.00
Fractional positions:
Cs1 0.0000 0.0000 0.0000
Cs2 0.0000 0.0000 0.5000
Cs3 0.0000 0.5000 0.0000
Cs4 0.5000 0.0000 0.0000
Cd1 0.3750 0.3750 0.3750
Cd2 0.6250 0.6250 0.6250

Calculated values
- energy relative to the elements (eV per atom) = 0.290

---

Entry 2:
# Cs3SiAu4

Crystalline Cs3SiAu4 at its relaxed geometry (PBE, Alexandria).

abc: 7.0551 7.0551 7.0551
angles: 122.74 108.38 98.27
Fractional positions:
Cs1 0.0000 0.0000 0.0000
Cs2 0.3983 0.6725 0.7257
Cs3 0.9468 0.6725 0.2743
Si1 0.5984 0.0984 0.5000
Au1 0.0056 0.2773 0.7283
Au2 0.4333 0.2234 0.7902
Au3 0.4333 0.6431 0.2098
Au4 0.5491 0.2773 0.2717

Calculated values
- energy relative to the elements, uncorrected (eV per atom) = -0.24

---

Entry 3:
# PuZnGa6

Crystalline PuZnGa6 at its relaxed geometry (PBE, Alexandria).

abc: 6.0212 6.0212 4.3715
angles: 90.00 90.00 111.40
Fractional positions:
Pu1 0.0000 0.0000 0.0000
Zn1 0.5000 0.5000 0.0000
Ga1 0.0000 0.5000 0.0000
Ga2 0.1998 0.8002 0.5000
Ga3 0.2980 0.2980 0.5000
Ga4 0.5000 0.0000 0.0000
Ga5 0.7020 0.7020 0.5000
Ga6 0.8002 0.1998 0.5000

Calculated values
- energy relative to the elements (eV per atom) = 0.092

---

Entry 4:
# MgFeRu2Pt

Crystalline MgFeRu2Pt at its relaxed geometry (PBE, Alexandria).

abc: 4.3625 4.3625 4.7073
angles: 90.00 90.00 90.00
Fractional positions:
Mg1 0.0000 0.0000 0.0000
Fe1 0.5000 0.5000 0.5000
Ru1 0.0000 0.5000 0.5000
Ru2 0.5000 0.0000 0.5000
Pt1 0.5000 0.5000 0.0000

Calculated values
- energy relative to the elements (eV per atom) = 0.858

---

Entry 5:
# TbPaIn

Crystalline TbPaIn at its relaxed geometry (PBE, Alexandria).

abc: 7.8802 7.8802 7.8802
angles: 156.20 156.20 33.90
Fractional positions:
Tb1 0.0000 0.0000 0.0000
Pa1 0.3252 0.3252 0.0000
In1 0.6632 0.6632 0.0000

Calculated values
- energy relative to the elements (eV per atom) = -0.038

---

Entry 6:
# Nd4Mg2N

Crystalline Nd4Mg2N at its relaxed geometry (PBE, Alexandria).

abc: 8.7134 8.7134 8.7134
angles: 145.87 145.87 49.05
Fractional positions:
Nd1 0.0000 0.5000 0.5000
Nd2 0.1527 0.1527 0.0000
Nd3 0.5000 0.0000 0.5000
Nd4 0.8473 0.8473 0.0000
Mg1 0.3662 0.3662 0.0000
Mg2 0.6338 0.6338 0.0000
N1 0.0000 0.0000 0.0000

Calculated values
- energy relative to the elements, uncorrected (eV per atom) = -0.30

---

Entry 7:
# DyZr2Sc7

Crystalline DyZr2Sc7 at its relaxed geometry (PBE, Alexandria).

abc: 5.6338 6.5220 7.3287
angles: 77.03 75.21 73.09
Fractional positions:
Dy1 0.0000 0.0000 0.0000
Zr1 0.1964 0.8047 0.5941
Zr2 0.8036 0.1953 0.4059
Sc1 0.0000 0.5000 0.0000
Sc2 0.1992 0.3014 0.5962
Sc3 0.3960 0.0995 0.2127
Sc4 0.4073 0.5937 0.2102
Sc5 0.5927 0.4063 0.7898
Sc6 0.6040 0.9005 0.7873
Sc7 0.8008 0.6986 0.4038

Calculated values
- energy relative to the elements (eV per atom) = 0.037

---

Entry 8:
# SbOsWSe2

Crystalline SbOsWSe2 at its relaxed geometry (PBE, Alexandria).

abc: 4.6634 4.6634 5.6692
angles: 90.00 90.00 90.00
Fractional positions:
Sb1 0.0000 0.0000 0.0000
Os1 0.0000 0.0000 0.5000
W1 0.5000 0.5000 0.0000
Se1 0.0000 0.5000 0.5000
Se2 0.5000 0.0000 0.5000

Calculated values
- energy relative to the elements, uncorrected (eV per atom) = 1.47

---

Entry 9:
# SnBiIr

Crystalline SnBiIr at its relaxed geometry (PBE, Alexandria).

abc: 4.1497 4.9006 8.5827
angles: 90.00 104.13 90.00
Fractional positions:
Sn1 0.2256 0.2500 0.4512
Sn2 0.7744 0.7500 0.5488
Bi1 0.4424 0.2500 0.8796
Bi2 0.5576 0.7500 0.1204
Ir1 0.1635 0.7500 0.3298
Ir2 0.8365 0.2500 0.6702

Calculated values
- energy relative to the elements (eV per atom) = 0.014

---

Entry 10:
# Mn2AlSb

Crystalline Mn2AlSb at its relaxed geometry (PBE, Alexandria).

abc: 8.4315 8.4315 8.4315
angles: 21.23 21.23 21.23
Fractional positions:
Mn1 0.0000 0.0000 0.0000
Mn2 0.2635 0.2635 0.2635
Al1 0.5209 0.5209 0.5209
Sb1 0.7543 0.7543 0.7543

Calculated values
- energy relative to the elements, uncorrected (eV per atom) = 0.29

---

Entry 11:
# DyZr2Be

Crystalline DyZr2Be at its relaxed geometry (PBE, Alexandria).

abc: 3.1690 3.1690 8.4070
angles: 90.00 90.00 90.00
Fractional positions:
Dy1 0.0000 0.0000 0.0000
Zr1 0.5000 0.5000 0.3078
Zr2 0.5000 0.5000 0.6922
Be1 0.0000 0.0000 0.5000

Calculated values
- energy relative to the elements (eV per atom) = 0.076

---

Entry 12:
# ErNbGaRu

Crystalline ErNbGaRu at its relaxed geometry (PBE, Alexandria).

abc: 4.6972 4.6972 4.6972
angles: 60.00 60.00 60.00
Fractional positions:
Er1 0.0000 0.0000 0.0000
Nb1 0.5000 0.5000 0.5000
Ga1 0.7500 0.7500 0.7500
Ru1 0.2500 0.2500 0.2500

Calculated values
- energy relative to the elements (eV per atom) = -0.211